DFT (PBE) results for a relaxed structure of LiNi9Sb2.

Results
The space group is R-3m (166). As for the total moment: 2.01 Bohr magnetons per cell. As for the formation energy without anion corrections: 0.03 eV per atom.

POSCAR file:
```
LiNi9Sb2
1.0
-2.907 2.298 -3.077
-4.757 -0.733 0.178
-3.302 6.649 4.315
Ni Sb Li
9 2 1
Direct
0.080 0.582 0.756
0.418 0.920 0.244
0.582 0.080 0.756
0.920 0.418 0.244
0.418 0.418 0.244
0.333 0.333 0.001
0.500 0.500 0.500
0.667 0.667 0.999
0.582 0.582 0.756
0.873 0.873 0.380
0.127 0.127 0.620
0.000 0.000 0.000
```


DFT (PBE) results for a relaxed structure of Li2NiSb.

Results
The space group is I-42d (122). As for the total moment: 0.00 Bohr magnetons per cell. As for the formation energy without anion corrections: -0.06 eV per atom.

POSCAR file:
```
Li2NiSb
1.0
-2.489 6.558 -2.919
-5.669 0.099 5.057
-2.663 4.562 2.633
Li Ni Sb
4 2 2
Direct
0.375 0.426 0.750
0.875 0.824 0.750
0.574 0.125 0.250
0.176 0.625 0.250
0.500 0.500 0.000
0.250 0.750 0.500
0.750 0.250 0.500
0.000 0.000 0.000
```


DFT (PBE) results for a relaxed structure of LiNi3Sb.

Results
The value obtained for the energy above the most stable polymorph in this dataset is 656.7 meV per atom. The space group is Pm-3m (221). As for the total moment: 0.00 Bohr magnetons per cell. As for the formation energy without anion corrections: 0.46 eV per atom.

POSCAR file:
```
LiNi3Sb
1.0
4.037 0.000 0.000
0.000 4.037 0.000
0.000 0.000 4.037
Ni Sb Li
3 1 1
Direct
0.000 0.500 0.000
0.000 0.000 0.500
0.500 0.000 0.000
0.500 0.500 0.500
0.000 0.000 0.000
```


| no. | V (Å³ per cell) |
| --- | --- |
| 1 | 163 |
| 2 | 141 |
| 3 | 66 |